No. 1
Here is an optimized crystal structure of NaAlSbTe from Alexandria. Energies are from PBE.

Properties
Magnetic moment (μB/f.u.): 0.00
Formation energy without anion corrections (eV/atom): -0.358
Energy above the lowest structure with this stoichiometry (eV per atom): 0.018
Final energy (eV/atom): -3.439

Cell and atoms, written as CIF:
```
data_NaAlSbTe
_space_group_name_H-M_alt 'C 1 m 1'
_space_group_IT_number 8
_space_group_name_Hall 'C -2y'
_cell_length_a 15.080
_cell_length_b 4.329
_cell_length_c 3.825
_cell_angle_alpha 90.00
_cell_angle_beta 90.26
_cell_angle_gamma 90.00
loop_
_atom_site_label
_atom_site_type_symbol
_atom_site_fract_x
_atom_site_fract_y
_atom_site_fract_z
_atom_site_occupancy
Na1 Na 0.000 0.000 0.000 1
Al1 Al 0.280 0.000 0.994 1
Sb1 Sb 0.172 0.500 0.992 1
Te1 Te 0.400 0.000 0.497 1
```

---

No. 2
Here is an optimized crystal structure of Cd2OsCF from Alexandria. Energies are from PBE.

Properties
Magnetic moment (μB/f.u.): 0.65
Formation energy without anion corrections (eV/atom): 1.415
Final energy (eV/atom): -3.416

Cell and atoms, written as CIF:
```
data_Cd2OsCF
_space_group_name_H-M_alt 'P 4/m m m'
_space_group_IT_number 123
_space_group_name_Hall '-P 4 2'
_cell_length_a 4.679
_cell_length_b 4.679
_cell_length_c 3.633
_cell_angle_alpha 90.00
_cell_angle_beta 90.00
_cell_angle_gamma 90.00
loop_
_atom_site_label
_atom_site_type_symbol
_atom_site_fract_x
_atom_site_fract_y
_atom_site_fract_z
_atom_site_occupancy
Cd1 Cd 0.000 0.500 0.000 1
Os1 Os 0.000 0.000 0.500 1
C1 C 0.500 0.500 0.500 1
F1 F 0.500 0.500 0.000 1
```